(1)
! CsTmPd2F8 PBE-GGA optimized geometry; values from VASP
! formation energy from raw total energies	-26.2	eV/f.u.
&SYSTEM
  ibrav = 0, nat = 12, ntyp = 4
/
ATOMIC_SPECIES
Cs 132.91 Cs.upf
Tm 168.93 Tm.upf
Pd 106.42 Pd.upf
F 19.00 F.upf
CELL_PARAMETERS angstrom
5.9186 0.0000 0.0000
-2.9593 5.1257 0.0000
0.0000 0.0000 8.4278
ATOMIC_POSITIONS crystal
Cs 0.0000 0.0000 0.0000
Tm 0.0000 0.0000 0.5000
Pd 0.3333 0.6667 0.7223
Pd 0.6667 0.3333 0.2777
F 0.0057 0.2910 0.6538
F 0.2853 0.9943 0.6538
F 0.2910 0.2853 0.3462
F 0.3333 0.6667 0.9608
F 0.6667 0.3333 0.0392
F 0.7090 0.7147 0.6538
F 0.7147 0.0057 0.3462
F 0.9943 0.7090 0.3462



(2)
! PrSm2DyEr4 PBE-GGA optimized geometry; values from VASP
! DFT formation energy	425	meV/atom
&SYSTEM
  ibrav = 0, nat = 16, ntyp = 4
/
ATOMIC_SPECIES
Pr 140.91 Pr.upf
Sm 150.36 Sm.upf
Dy 162.50 Dy.upf
Er 167.26 Er.upf
CELL_PARAMETERS angstrom
6.8068 -6.6283 0.0000
6.8068 6.6283 0.0000
-3.3987 0.0000 5.8927
ATOMIC_POSITIONS crystal
Pr 0.0000 0.5000 0.0000
Pr 0.5000 0.0000 0.5000
Sm 0.0000 0.0000 0.0000
Sm 0.0000 0.0000 0.5000
Sm 0.0000 0.5000 0.5000
Sm 0.5000 0.0000 0.0000
Dy 0.5000 0.5000 0.0000
Dy 0.5000 0.5000 0.5000
Er 0.2521 0.2527 0.5031
Er 0.2522 0.7478 0.5008
Er 0.2522 0.7478 0.9992
Er 0.2527 0.2521 0.0031
Er 0.7473 0.7479 0.9969
Er 0.7478 0.2522 0.0008
Er 0.7478 0.2522 0.4992
Er 0.7479 0.7473 0.4969



(3)
! ReIrAu2 PBE-GGA optimized geometry; values from VASP
! ΔE to the lowest computed polymorph	1.80	eV per formula unit
! DFT formation energy	571	meV/atom
&SYSTEM
  ibrav = 0, nat = 4, ntyp = 3
/
ATOMIC_SPECIES
Re 186.21 Re.upf
Ir 192.22 Ir.upf
Au 196.97 Au.upf
CELL_PARAMETERS angstrom
2.8304 0.0000 0.0000
0.0000 2.8304 0.0000
0.0000 0.0000 8.0267
ATOMIC_POSITIONS crystal
Re 0.0000 0.0000 0.0000
Ir 0.0000 0.0000 0.5000
Au 0.5000 0.5000 0.2481
Au 0.5000 0.5000 0.7519



(4)
! SrCrBr2 PBE-GGA optimized geometry; values from VASP
! formation energy from raw total energies	-2.3	eV/f.u.
! ΔE to the lowest computed polymorph	0.48	eV per formula unit
&SYSTEM
  ibrav = 0, nat = 4, ntyp = 3
/
ATOMIC_SPECIES
Sr 87.62 Sr.upf
Cr 52.00 Cr.upf
Br 79.90 Br.upf
CELL_PARAMETERS angstrom
3.8506 0.0000 0.0000
0.0000 3.8506 0.0000
0.0000 0.0000 8.3516
ATOMIC_POSITIONS crystal
Sr 0.0000 0.0000 0.0000
Cr 0.0000 0.0000 0.5000
Br 0.5000 0.5000 0.2089
Br 0.5000 0.5000 0.7911



(5)
! ThFeSi2Ru PBE-GGA optimized geometry; values from VASP
! formation energy from raw total energies	-4.0	eV/f.u.
&SYSTEM
  ibrav = 0, nat = 5, ntyp = 4
/
ATOMIC_SPECIES
Th 232.04 Th.upf
Fe 55.84 Fe.upf
Si 28.09 Si.upf
Ru 101.07 Ru.upf
CELL_PARAMETERS angstrom
-2.0671 2.0671 4.8681
2.0671 -2.0671 4.8681
2.0671 2.0671 -4.8681
ATOMIC_POSITIONS crystal
Th 0.0000 0.0000 0.0000
Fe 0.7500 0.2500 0.5000
Si 0.3663 0.3663 0.0000
Si 0.6337 0.6337 0.0000
Ru 0.2500 0.7500 0.5000



(6)
! Np2AsPd PBE-GGA optimized geometry; values from VASP
! DFT formation energy	-303	meV/atom
&SYSTEM
  ibrav = 0, nat = 4, ntyp = 3
/
ATOMIC_SPECIES
Np 237.00 Np.upf
As 74.92 As.upf
Pd 106.42 Pd.upf
CELL_PARAMETERS angstrom
4.4835 0.0000 0.0000
0.0000 4.4835 0.0000
0.0000 0.0000 4.1356
ATOMIC_POSITIONS crystal
Np 0.0000 0.5000 0.0000
Np 0.5000 0.0000 0.0000
As 0.0000 0.0000 0.5000
Pd 0.5000 0.5000 0.5000



M_tot per entry: 4.0 2.7 0.0 5.8 0.0 8.9 μB per formula unit